1.
Crystalline La4Tb3Nd2 at its relaxed geometry. Source: the Alexandria database, functional PBE.

- ΔH_f (0 K): 0.03 eV per atom
- Crystal system: monoclinic

Unit cell a=6.3446 b=6.3446 c=11.0168 alpha=106.38 beta=106.38 gamma=48.46
Closest atoms and distances in Å follow each position.
Fractional positions:
La: 0.0010 0.0010 0.3334  3 Nd 3.65-3.66, 6 Tb 3.66-3.68, 3 La 3.68-3.69
La: 0.3334 0.3334 0.1111  4 Nd 3.67-3.70, 4 Tb 3.67-3.70, 4 La 3.68-3.69
La: 0.6666 0.6666 0.8889  4 Nd 3.67-3.70, 4 Tb 3.67-3.70, 4 La 3.68-3.69
La: 0.9990 0.9990 0.6666  3 Nd 3.65-3.66, 6 Tb 3.66-3.68, 3 La 3.68-3.69
Tb: 0.0000 0.0000 0.0000  8 La 3.67, 4 Nd 3.71
Tb: 0.3350 0.3350 0.4476  3 Nd 3.62-3.68, 3 Tb 3.63-3.66, 6 La 3.66-3.70
Tb: 0.6650 0.6650 0.5524  3 Nd 3.62-3.68, 3 Tb 3.63-3.66, 6 La 3.66-3.70
Nd: 0.3311 0.3311 0.7750  5 Tb 3.62-3.71, 7 La 3.65-3.70
Nd: 0.6689 0.6689 0.2250  5 Tb 3.62-3.71, 7 La 3.65-3.70


2.
Crystalline La5TbNd8 at its relaxed geometry. Source: the Alexandria database, functional PBE.

- ΔH_f (0 K): 0.22 eV per atom
- Crystal system: tetragonal

Unit cell a=8.6950 b=8.6950 c=8.6950 alpha=110.80 beta=110.80 gamma=106.85
Closest atoms and distances in Å follow each position.
Fractional positions:
La: 0.0000 0.0000 0.0000  8 Nd 3.20-3.47
La: 0.2098 0.5302 0.8946  8 Nd 3.48-3.70, 2 La 3.70
La: 0.4698 0.3644 0.6796  8 Nd 3.48-3.70, 2 La 3.70
La: 0.6356 0.3152 0.1054  8 Nd 3.48-3.70, 2 La 3.70
La: 0.6848 0.7902 0.3204  8 Nd 3.48-3.70, 2 La 3.70
Tb: 0.2500 0.7500 0.5000  4 Nd 3.23
Nd: 0.1664 0.0611 0.7399  3 La 3.20-3.49, 1 Tb 3.23
Nd: 0.3212 0.4265 0.2601  3 La 3.20-3.49, 1 Tb 3.23
Nd: 0.4265 0.0264 0.2572  5 La 3.47-3.68, 4 Nd 3.67-3.84
Nd: 0.5735 0.8336 0.8947  3 La 3.20-3.49, 1 Tb 3.23
Nd: 0.7691 0.1693 0.7428  5 La 3.47-3.68, 4 Nd 3.67-3.84
Nd: 0.8307 0.5735 0.5998  5 La 3.47-3.68, 4 Nd 3.67-3.84
Nd: 0.9389 0.6788 0.1053  3 La 3.20-3.49, 1 Tb 3.23
Nd: 0.9736 0.2309 0.4002  5 La 3.47-3.68, 4 Nd 3.67-3.84


3.
Crystalline La2Tb3Nd7 at its relaxed geometry. Source: the Alexandria database, functional PBE.

- ΔH_f (0 K): 0.07 eV per atom
- Crystal system: monoclinic

Unit cell a=6.5326 b=3.6035 c=17.9031 alpha=90.00 beta=95.93 gamma=90.00
Closest atoms and distances in Å follow each position.
Fractional positions:
La: 0.0598 0.0000 0.1696  5 Nd 3.45-3.65, 2 La 3.60, 4 Tb 3.68-3.79
La: 0.9402 0.0000 0.8304  5 Nd 3.45-3.65, 2 La 3.60, 4 Tb 3.68-3.79
Tb: 0.4536 0.5000 0.8408  2 Tb 3.60, 7 Nd 3.66-3.77, 4 La 3.68-3.79
Tb: 0.5000 0.0000 0.5000  2 Tb 3.60, 10 Nd 3.62-3.73
Tb: 0.5464 0.5000 0.1592  2 Tb 3.60, 7 Nd 3.66-3.77, 4 La 3.68-3.79
Nd: 0.0000 0.5000 0.5000  8 Nd 3.60-3.69, 4 Tb 3.73
Nd: 0.2283 0.0000 0.6681  8 Nd 3.60-3.76, 1 La 3.62, 3 Tb 3.65-3.75
Nd: 0.2580 0.0000 0.9965  2 Nd 3.15-3.39, 2 La 3.45-3.48
Nd: 0.2785 0.5000 0.3361  7 Nd 3.60-3.76, 3 Tb 3.62-3.77, 2 La 3.65
Nd: 0.7215 0.5000 0.6639  7 Nd 3.60-3.76, 3 Tb 3.62-3.77, 2 La 3.65
Nd: 0.7420 0.0000 0.0035  2 Nd 3.15-3.39, 2 La 3.45-3.48
Nd: 0.7717 0.0000 0.3319  8 Nd 3.60-3.76, 1 La 3.62, 3 Tb 3.65-3.75


4.
Crystalline La7Tb3Nd at its relaxed geometry. Source: the Alexandria database, functional PBE.

- ΔH_f (0 K): 0.21 eV per atom
- Crystal system: monoclinic

Unit cell a=7.8790 b=7.8790 c=6.5210 alpha=94.71 beta=94.71 gamma=82.14
Closest atoms and distances in Å follow each position.
Fractional positions:
La: 0.0000 0.0000 0.0000  2 Nd 3.26, 2 Tb 3.44, 2 La 3.57
La: 0.0744 0.4344 0.2653  4 La 3.34-3.73, 3 Tb 3.55-3.67
La: 0.2644 0.2644 0.7882  5 La 3.34-3.64, 3 Tb 3.45-3.54, 1 Nd 3.48
La: 0.4344 0.0744 0.2653  4 La 3.34-3.73, 3 Tb 3.55-3.67
La: 0.5656 0.9256 0.7347  4 La 3.34-3.73, 3 Tb 3.55-3.67
La: 0.7356 0.7356 0.2118  5 La 3.34-3.64, 3 Tb 3.45-3.54, 1 Nd 3.48
La: 0.9256 0.5656 0.7347  4 La 3.34-3.73, 3 Tb 3.55-3.67
Tb: 0.3321 0.6679 0.0000  7 La 3.44-3.67, 3 Tb 3.48-3.69
Tb: 0.5000 0.5000 0.5000  6 La 3.54-3.65, 4 Tb 3.69
Tb: 0.6679 0.3321 0.0000  7 La 3.44-3.67, 3 Tb 3.48-3.69
Nd: 0.0000 0.0000 0.5000  4 La 3.26-3.48


5.
Crystalline LaTb2Nd7 at its relaxed geometry. Source: the Alexandria database, functional PBE.

- ΔH_f (0 K): 0.63 eV per atom
- Crystal system: orthorhombic

Unit cell a=9.3070 b=9.3070 c=5.7757 alpha=90.00 beta=90.00 gamma=122.32
Closest atoms and distances in Å follow each position.
Fractional positions:
La: 0.0000 0.0000 0.0000  10 Nd 3.73-3.82
Tb: 0.2968 0.7032 0.5000  7 Nd 3.09-3.35
Tb: 0.7032 0.2968 0.5000  7 Nd 3.09-3.35
Nd: 0.0626 0.2963 0.5000  2 Tb 3.20-3.35, 2 Nd 3.22-3.45
Nd: 0.2289 0.7711 0.0000  2 Tb 3.09
Nd: 0.2963 0.0626 0.5000  2 Tb 3.20-3.35, 2 Nd 3.22-3.45
Nd: 0.5000 0.5000 0.5000  2 Tb 3.31, 4 Nd 3.45
Nd: 0.7037 0.9374 0.5000  2 Tb 3.20-3.35, 2 Nd 3.22-3.45
Nd: 0.7711 0.2289 0.0000  2 Tb 3.09
Nd: 0.9374 0.7037 0.5000  2 Tb 3.20-3.35, 2 Nd 3.22-3.45


6.
Crystalline LaTb5Nd2 at its relaxed geometry. Source: the Alexandria database, functional PBE.

- ΔH_f (0 K): 0.02 eV per atom
- Crystal system: orthorhombic

Unit cell a=7.2260 b=14.4683 c=5.1198 alpha=90.00 beta=90.00 gamma=90.00
Closest atoms and distances in Å follow each position.
Fractional positions:
La: 0.0000 0.0000 0.0000  8 Tb 3.61-3.65, 4 Nd 3.63
La: 0.5000 0.5000 0.0000  8 Tb 3.61-3.65, 4 Nd 3.63
Tb: 0.0000 0.5000 0.0000  6 Tb 3.59-3.63, 2 La 3.61, 4 Nd 3.62
Tb: 0.0023 0.2521 0.0000  7 Tb 3.59-3.63, 4 Nd 3.59-3.62, 1 La 3.65
Tb: 0.2487 0.8739 0.5000  4 Nd 3.58-3.65, 6 Tb 3.59-3.63, 2 La 3.62
Tb: 0.2513 0.3739 0.5000  4 Nd 3.58-3.65, 6 Tb 3.59-3.63, 2 La 3.62
Tb: 0.4977 0.7521 0.0000  7 Tb 3.59-3.63, 4 Nd 3.59-3.62, 1 La 3.65
Tb: 0.5000 0.0000 0.0000  6 Tb 3.59-3.63, 2 La 3.61, 4 Nd 3.62
Tb: 0.5023 0.2479 0.0000  7 Tb 3.59-3.63, 4 Nd 3.59-3.62, 1 La 3.65
Tb: 0.7487 0.6261 0.5000  4 Nd 3.58-3.65, 6 Tb 3.59-3.63, 2 La 3.62
Tb: 0.7513 0.1261 0.5000  4 Nd 3.58-3.65, 6 Tb 3.59-3.63, 2 La 3.62
Tb: 0.9977 0.7479 0.0000  7 Tb 3.59-3.63, 4 Nd 3.59-3.62, 1 La 3.65
Nd: 0.2477 0.6262 0.5000  10 Tb 3.58-3.65, 2 La 3.63
Nd: 0.2523 0.1262 0.5000  10 Tb 3.58-3.65, 2 La 3.63
Nd: 0.7477 0.8738 0.5000  10 Tb 3.58-3.65, 2 La 3.63
Nd: 0.7523 0.3738 0.5000  10 Tb 3.58-3.65, 2 La 3.63


7.
Crystalline LaTb6Nd2 at its relaxed geometry. Source: the Alexandria database, functional PBE.

- ΔH_f (0 K): 0.11 eV per atom
- Crystal system: monoclinic

Unit cell a=9.6652 b=9.6652 c=6.6840 alpha=98.58 beta=98.58 gamma=95.49
Closest atoms and distances in Å follow each position.
Fractional positions:
La: 0.1211 0.8789 0.7500  6 Tb 3.28-3.55
La: 0.8789 0.1211 0.2500  6 Tb 3.28-3.55
Tb: 0.0474 0.2211 0.8203  4 Tb 3.41-3.78, 2 La 3.43-3.71, 2 Nd 3.54-3.57
Tb: 0.0573 0.4627 0.2668  7 Tb 3.41-3.77, 2 Nd 3.52-3.72, 1 La 3.55
Tb: 0.2211 0.0474 0.3203  4 Tb 3.41-3.78, 2 La 3.43-3.71, 2 Nd 3.54-3.57
Tb: 0.2790 0.6548 0.0000  5 Tb 3.26-3.63, 1 La 3.28, 3 Nd 3.45-3.57
Tb: 0.3452 0.7210 0.5000  5 Tb 3.26-3.63, 1 La 3.28, 3 Nd 3.45-3.57
Tb: 0.4627 0.0573 0.7668  7 Tb 3.41-3.77, 2 Nd 3.52-3.72, 1 La 3.55
Tb: 0.5373 0.9427 0.2332  7 Tb 3.41-3.77, 2 Nd 3.52-3.72, 1 La 3.55
Tb: 0.6548 0.2790 0.5000  5 Tb 3.26-3.63, 1 La 3.28, 3 Nd 3.45-3.57
Tb: 0.7210 0.3452 0.0000  5 Tb 3.26-3.63, 1 La 3.28, 3 Nd 3.45-3.57
Tb: 0.7789 0.9526 0.6797  4 Tb 3.41-3.78, 2 La 3.43-3.71, 2 Nd 3.54-3.57
Tb: 0.9427 0.5373 0.7332  7 Tb 3.41-3.77, 2 Nd 3.52-3.72, 1 La 3.55
Tb: 0.9526 0.7789 0.1797  4 Tb 3.41-3.78, 2 La 3.43-3.71, 2 Nd 3.54-3.57
Nd: 0.3313 0.3859 0.6286  3 Nd 3.43-3.67, 7 Tb 3.45-3.72
Nd: 0.3859 0.3313 0.1286  3 Nd 3.43-3.67, 7 Tb 3.45-3.72
Nd: 0.6141 0.6687 0.8714  3 Nd 3.43-3.67, 7 Tb 3.45-3.72
Nd: 0.6687 0.6141 0.3714  3 Nd 3.43-3.67, 7 Tb 3.45-3.72


8.
Crystalline La4Tb2Nd3 at its relaxed geometry. Source: the Alexandria database, functional PBE.

- ΔH_f (0 K): 0.02 eV per atom
- Crystal system: triclinic

Unit cell a=6.3575 b=6.3708 c=9.7381 alpha=71.24 beta=71.37 gamma=60.11
Closest atoms and distances in Å follow each position.
Fractional positions:
La: 0.1640 0.1682 0.0002  5 Nd 3.66-3.71, 5 La 3.66-3.71, 2 Tb 3.68-3.72
La: 0.2768 0.6118 0.6648  4 Tb 3.64-3.69, 5 Nd 3.67-3.69, 3 La 3.67-3.71
La: 0.7232 0.3882 0.3352  4 Tb 3.64-3.69, 5 Nd 3.67-3.69, 3 La 3.67-3.71
La: 0.8360 0.8318 0.9998  5 Nd 3.66-3.71, 5 La 3.66-3.71, 2 Tb 3.68-3.72
Tb: 0.0549 0.7200 0.3354  6 La 3.64-3.72, 1 Tb 3.66, 5 Nd 3.67-3.70
Tb: 0.9451 0.2800 0.6646  6 La 3.64-3.72, 1 Tb 3.66, 5 Nd 3.67-3.70
Nd: 0.3892 0.0557 0.3345  2 Nd 3.65-3.70, 6 La 3.67-3.71, 4 Tb 3.67-3.69
Nd: 0.5000 0.5000 0.0000  8 La 3.66-3.69, 2 Nd 3.70, 2 Tb 3.70
Nd: 0.6108 0.9443 0.6655  2 Nd 3.65-3.70, 6 La 3.67-3.71, 4 Tb 3.67-3.69


9.
Crystalline La5TbNd5 at its relaxed geometry. Source: the Alexandria database, functional PBE.

- ΔH_f (0 K): 0.25 eV per atom
- Crystal system: hexagonal

Unit cell a=6.3335 b=6.3335 c=11.6979 alpha=90.00 beta=90.00 gamma=120.00
Closest atoms and distances in Å follow each position.
Fractional positions:
La: 0.0000 0.0000 0.0000  2 Nd 3.08
La: 0.3333 0.6667 0.3186  9 Nd 3.71-3.81, 1 Tb 3.73, 3 La 4.14
La: 0.3333 0.6667 0.6814  9 Nd 3.71-3.81, 1 Tb 3.73, 3 La 4.14
La: 0.6667 0.3333 0.1526  1 La 3.57, 3 Nd 3.88
La: 0.6667 0.3333 0.8474  1 La 3.57, 3 Nd 3.88
Tb: 0.3333 0.6667 0.0000  11 La 3.66-4.07
Nd: 0.0000 0.0000 0.2634  1 La 3.08, 3 Nd 3.33
Nd: 0.0000 0.0000 0.7366  1 La 3.08, 3 Nd 3.33
Nd: 0.3383 0.1692 0.5000  6 Nd 3.12-3.33
Nd: 0.8308 0.1692 0.5000  6 Nd 3.12-3.33
Nd: 0.8308 0.6617 0.5000  6 Nd 3.12-3.33


10.
Crystalline La3Tb4Nd4 at its relaxed geometry. Source: the Alexandria database, functional PBE.

- ΔH_f (0 K): 0.15 eV per atom
- Crystal system: orthorhombic

Unit cell a=10.9341 b=6.7668 c=6.7668 alpha=51.00 beta=90.00 gamma=90.00
Closest atoms and distances in Å follow each position.
Fractional positions:
La: 0.0000 0.0000 0.0000  7 Nd 3.61-3.83, 2 La 3.70, 5 Tb 3.71-3.79
La: 0.2883 0.1593 0.1593  3 Tb 3.36-3.72, 4 Nd 3.62-3.74, 1 La 3.70
La: 0.7117 0.1593 0.1593  3 Tb 3.36-3.72, 4 Nd 3.62-3.74, 1 La 3.70
Tb: 0.0000 0.3041 0.3041  4 Nd 3.16-3.32
Tb: 0.3060 0.8548 0.8548  4 Nd 3.46-3.82, 2 Tb 3.60, 4 La 3.72-3.79
Tb: 0.5000 0.3590 0.3590  3 Nd 3.33-3.53, 2 La 3.36, 4 Tb 3.60
Tb: 0.6940 0.8548 0.8548  4 Nd 3.46-3.82, 2 Tb 3.60, 4 La 3.72-3.79
Nd: 0.0000 0.7041 0.7041  2 Tb 3.16, 2 Nd 3.47
Nd: 0.2152 0.4953 0.4953  4 Tb 3.32-3.53, 2 Nd 3.47-3.53, 2 La 3.62
Nd: 0.5000 0.6314 0.6314  3 Tb 3.33-3.46, 2 Nd 3.53
Nd: 0.7848 0.4953 0.4953  4 Tb 3.32-3.53, 2 Nd 3.47-3.53, 2 La 3.62


11.
Crystalline La12TbNd3 at its relaxed geometry. Source: the Alexandria database, functional PBE.

- ΔH_f (0 K): 0.01 eV per atom
- Crystal system: tetragonal

Unit cell a=5.2386 b=5.2386 c=20.9771 alpha=90.00 beta=90.00 gamma=90.00
Closest atoms and distances in Å follow each position.
Fractional positions:
La: 0.0000 0.0000 0.0000  8 La 3.69, 4 Tb 3.70
La: 0.0000 0.0000 0.2488  4 Nd 3.70, 8 La 3.71-3.72
La: 0.0000 0.0000 0.5000  4 Nd 3.70, 8 La 3.71
La: 0.0000 0.0000 0.7512  4 Nd 3.70, 8 La 3.71-3.72
La: 0.0000 0.5000 0.1237  2 Tb 3.69, 8 La 3.69-3.71, 2 Nd 3.71
La: 0.0000 0.5000 0.3744  8 La 3.70-3.72, 4 Nd 3.71
La: 0.0000 0.5000 0.6256  8 La 3.70-3.72, 4 Nd 3.71
La: 0.0000 0.5000 0.8763  2 Tb 3.69, 8 La 3.69-3.71, 2 Nd 3.71
La: 0.5000 0.0000 0.1237  2 Tb 3.69, 8 La 3.69-3.71, 2 Nd 3.71
La: 0.5000 0.0000 0.3744  8 La 3.70-3.72, 4 Nd 3.71
La: 0.5000 0.0000 0.6256  8 La 3.70-3.72, 4 Nd 3.71
La: 0.5000 0.0000 0.8763  2 Tb 3.69, 8 La 3.69-3.71, 2 Nd 3.71
Tb: 0.5000 0.5000 0.0000  12 La 3.69-3.70
Nd: 0.5000 0.5000 0.2489  12 La 3.70-3.71
Nd: 0.5000 0.5000 0.5000  12 La 3.70-3.71
Nd: 0.5000 0.5000 0.7511  12 La 3.70-3.71


12.
Crystalline La3TbNd2 at its relaxed geometry. Source: the Alexandria database, functional PBE.

- ΔH_f (0 K): 0.23 eV per atom
- Crystal system: orthorhombic

Unit cell a=6.8877 b=18.0832 c=3.4867 alpha=90.00 beta=90.00 gamma=90.00
Closest atoms and distances in Å follow each position.
Fractional positions:
La: 0.0000 0.0000 0.0000  2 La 3.49, 4 Nd 3.61, 4 Tb 3.86
La: 0.2362 0.3201 0.0000  4 Nd 3.44-3.52, 2 La 3.49, 1 Tb 3.64
La: 0.2638 0.8201 0.5000  4 Nd 3.44-3.52, 2 La 3.49, 1 Tb 3.64
La: 0.5000 0.5000 0.5000  2 La 3.49, 4 Nd 3.61, 4 Tb 3.86
La: 0.7362 0.1799 0.5000  4 Nd 3.44-3.52, 2 La 3.49, 1 Tb 3.64
La: 0.7638 0.6799 0.0000  4 Nd 3.44-3.52, 2 La 3.49, 1 Tb 3.64
Tb: 0.0000 0.5000 0.0000  2 Nd 3.30, 2 Tb 3.49, 2 La 3.64
Tb: 0.5000 0.0000 0.5000  2 Nd 3.30, 2 Tb 3.49, 2 La 3.64
Nd: 0.2302 0.1509 0.5000  1 Tb 3.30, 6 La 3.44-3.61, 2 Nd 3.49
Nd: 0.2698 0.6509 0.0000  1 Tb 3.30, 6 La 3.44-3.61, 2 Nd 3.49
Nd: 0.7302 0.3491 0.0000  1 Tb 3.30, 6 La 3.44-3.61, 2 Nd 3.49
Nd: 0.7698 0.8491 0.5000  1 Tb 3.30, 6 La 3.44-3.61, 2 Nd 3.49